Record 1
# HfNb2Tl

HfNb2Tl after structural relaxation (PBE, the Alexandria database).

Geometry as CIF:
```
data_HfNb2Tl
_space_group_name_H-M_alt 'F m -3 m'
_space_group_IT_number 225
_space_group_name_Hall '-F 4 2 3'
_cell_length_a 6.845
_cell_length_b 6.845
_cell_length_c 6.845
_cell_angle_alpha 90.00
_cell_angle_beta 90.00
_cell_angle_gamma 90.00
loop_
_atom_site_label
_atom_site_type_symbol
_atom_site_fract_x
_atom_site_fract_y
_atom_site_fract_z
Hf1 Hf 0.000 0.000 0.000
Nb1 Nb 0.250 0.250 0.250
Tl1 Tl 0.000 0.000 0.500
```

Output
The value obtained for the density of states at the Fermi level is 2.07 states/eV/atom. For the offset from the most stable computed form, the calculation gives 0.227 eV/atom.


Record 2
# CsPmCl4

CsPmCl4 after structural relaxation (PBE, the Alexandria database).

Geometry as CIF:
```
data_CsPmCl4
_space_group_name_H-M_alt 'C 1 2/m 1'
_space_group_IT_number 12
_cell_length_a 15.663
_cell_length_b 7.609
_cell_length_c 7.425
_cell_angle_alpha 90.00
_cell_angle_beta 92.91
_cell_angle_gamma 90.00
loop_
_space_group_symop_operation_xyz
'x,y,z'
'-x,-y,-z'
'-x,y,-z'
'x,-y,z'
'x+1/2,y+1/2,z'
'-x+1/2,-y+1/2,-z'
'-x+1/2,y+1/2,-z'
'x+1/2,-y+1/2,z'
loop_
_atom_site_label
_atom_site_type_symbol
_atom_site_fract_x
_atom_site_fract_y
_atom_site_fract_z
Cs1 Cs 0.210 0.000 0.259
Pm1 Pm 0.031 0.500 0.276
Cl1 Cl 0.000 0.261 0.000
Cl2 Cl 0.099 0.287 0.567
Cl3 Cl 0.192 0.500 0.174
```

Output
The value obtained for the density of states at the Fermi level is 0.00 states/eV/atom. For the offset from the most stable computed form, the calculation gives 0.000 eV/atom.


Record 3
# Te2AsP

Te2AsP after structural relaxation (PBE, the Alexandria database).

Geometry as CIF:
```
data_Te2AsP
_space_group_name_H-M_alt 'C 1 m 1'
_space_group_IT_number 8
_cell_length_a 16.971
_cell_length_b 3.596
_cell_length_c 4.117
_cell_angle_alpha 90.00
_cell_angle_beta 97.07
_cell_angle_gamma 90.00
loop_
_space_group_symop_operation_xyz
'x,y,z'
'x,-y,z'
'x+1/2,y+1/2,z'
'x+1/2,-y+1/2,z'
loop_
_atom_site_label
_atom_site_type_symbol
_atom_site_fract_x
_atom_site_fract_y
_atom_site_fract_z
Te1 Te 0.000 0.000 0.000
Te2 Te 0.237 0.000 0.658
As1 As 0.301 0.500 0.303
P1 P 0.443 0.000 0.333
```

Output
The value obtained for the density of states at the Fermi level is 0.31 states/eV/atom. For the offset from the most stable computed form, the calculation gives 0.123 eV/atom.